Entry 1:
Cs3GeBr6: optimized geometry, PBE.

Values from the calculation:
uncorrected formation energy: -1.234 eV per atom
D(E_F): 10.0 states/eV/cell
crystal system: orthorhombic

Cell lengths 14.365, 17.232, 8.813 Å; angles 90.00, 90.00, 90.00 degrees
Space group Cmc2_1 (No. 36)
Inequivalent atoms, fractional coordinates:
Cs (0.000, 0.078, 0.000) x4
Cs (0.199, 0.402, 0.928) x8
Ge (0.000, 0.315, 0.352) x4
Br (0.000, 0.317, 0.638) x4
Br (0.000, 0.449, 0.242) x4
Br (0.137, 0.248, 0.239) x8
Br (0.167, 0.028, 0.719) x8

---

Entry 2:
TbPr3Th4S8: optimized geometry, PBE.

Values from the calculation:
uncorrected formation energy: -1.919 eV per atom
D(E_F): 17.8 states/eV/cell
crystal system: trigonal

Cell lengths 8.0360, 8.0360, 20.1484 Å; angles 90.00, 90.00, 120.00 degrees
Space group R-3m (No. 166, hexagonal axes)
Inequivalent atoms, fractional coordinates:
Tb (0.0000, 0.0000, 0.0000) x3
Pr (0.0000, 0.5000, 0.0000) x9
Th (0.0000, 0.0000, 0.5000) x3
Th (0.0000, 0.5000, 0.5000) x9
S (0.0000, 0.0000, 0.2492) x6
S (0.0071, 0.5035, 0.7491) x18

---

Entry 3:
Rb2TiTc: optimized geometry, PBE.

Values from the calculation:
D(E_F): 55.2 states/eV/cell
crystal system: cubic
energy above the most stable polymorph in this dataset: 4.422 eV per formula unit

Cell lengths 7.985, 7.985, 7.985 Å; angles 90.00, 90.00, 90.00 degrees
Space group Fm-3m (No. 225)
Inequivalent atoms, fractional coordinates:
Rb (0.250, 0.250, 0.250) x8
Ti (0.000, 0.000, 0.000) x4
Tc (0.000, 0.000, 0.500) x4

---

Entry 4:
Pd2WAu: optimized geometry, PBE.

Values from the calculation:
D(E_F): 15.5 states/eV/cell
crystal system: tetragonal
energy above the most stable polymorph in this dataset: 2.645 eV per formula unit

Cell lengths 7.202, 7.202, 5.490 Å; angles 90.00, 90.00, 90.00 degrees
Space group I-42d (No. 122)
Inequivalent atoms, fractional coordinates:
Pd (0.224, 0.250, 0.125) x8
W (0.000, 0.000, 0.000) x4
Au (0.000, 0.000, 0.500) x4

---

Entry 5:
MnBr2Cl: optimized geometry, PBE.

Values from the calculation:
uncorrected formation energy: 0.144 eV per atom
D(E_F): 7.1 states/eV/cell
crystal system: tetragonal
energy above the most stable polymorph in this dataset: 3.451 eV per formula unit

Cell lengths 5.058, 5.058, 7.173 Å; angles 90.00, 90.00, 90.00 degrees
Space group I-4m2 (No. 119)
Inequivalent atoms, fractional coordinates:
Mn (0.000, 0.000, 0.000) x2
Br (0.000, 0.000, 0.500) x2
Br (0.000, 0.500, 0.750) x2
Cl (0.000, 0.500, 0.250) x2

---

Entry 6:
ScFe2Ir: optimized geometry, PBE.

Values from the calculation:
D(E_F): 3.3 states/eV/cell
crystal system: monoclinic
final energy: -8.151 eV/atom

Cell lengths 2.773, 4.290, 5.041 Å; angles 90.00, 102.93, 90.00 degrees
Space group P2/m (No. 10)
Inequivalent atoms, fractional coordinates:
Sc (0.000, 0.000, 0.000) x1
Fe (0.265, 0.500, 0.739) x2
Ir (0.500, 0.000, 0.500) x1

---

Entry 7:
CaTa2Al: optimized geometry, PBE.

Values from the calculation:
D(E_F): 9.2 states/eV/cell
crystal system: tetragonal
final energy: -6.929 eV/atom

Cell lengths 4.154, 4.154, 9.302 Å; angles 90.00, 90.00, 90.00 degrees
Space group I4/mmm (No. 139)
Inequivalent atoms, fractional coordinates:
Ca (0.000, 0.000, 0.000) x2
Ta (0.000, 0.500, 0.250) x4
Al (0.000, 0.000, 0.500) x2

---

Entry 8:
Cd4RuN4: optimized geometry, PBE.

Values from the calculation:
uncorrected formation energy: 0.526 eV per atom
D(E_F): 5.5 states/eV/cell
crystal system: triclinic

Cell lengths 6.478, 6.505, 8.648 Å; angles 73.26, 73.26, 63.53 degrees
Space group P-1 (No. 2)
Inequivalent atoms, fractional coordinates:
Cd (0.135, 0.134, 0.242) x2
Cd (0.155, 0.645, 0.375) x2
Cd (0.254, 0.748, 0.999) x2
Cd (0.354, 0.847, 0.626) x2
Ru (0.303, 0.304, 0.782) x2
N (0.081, 0.528, 0.659) x2
N (0.159, 0.159, 0.965) x2
N (0.461, 0.460, 0.822) x2
N (0.473, 0.917, 0.342) x2

---

Entry 9:
Ta2W: optimized geometry, PBE.

Values from the calculation:
D(E_F): 11.7 states/eV/cell
crystal system: monoclinic
energy above the most stable polymorph in this dataset: 0.045 eV per formula unit

Cell lengths 10.354, 3.254, 6.565 Å; angles 90.00, 108.97, 90.00 degrees
Space group C2/m (No. 12)
Inequivalent atoms, fractional coordinates:
Ta (0.001, 0.000, 0.243) x4
Ta (0.169, 0.500, 0.589) x4
W (0.170, 0.500, 0.081) x4